Here is an optimized crystal structure of SrHoIn from Alexandria via LeMat-Bulk. Energies are from PBE.

Output
Its distance to the lowest polymorph of the same formula is 97 meV/atom. Its density of states at the Fermi level is 1.1141 states/eV per atom. For the formation energy, the calculation gives -0.207 eV per atom. The value obtained for the total energy is -19.2 eV for the cell shown. The calculation puts the spin magnetization at 0.0 Bohr magnetons per cell. As for the crystal system: tetragonal. The value obtained for the volume is 34.12 Å³ per atom.

Cell and atoms, written as CIF:
```
data_SrHoIn
_chemical_formula_sum 'Sr2 Ho2 In2'
_cell_length_a 3.8634
_cell_length_b 3.8634
_cell_length_c 13.7141
_cell_angle_alpha 90.00
_cell_angle_beta 90.00
_cell_angle_gamma 90.00
_symmetry_space_group_name_H-M 'I 4 m m'
_symmetry_Int_Tables_number 107
_symmetry_space_group_name_Hall 'I 4 -2'
loop_
_atom_site_label
_atom_site_type_symbol
_atom_site_fract_x
_atom_site_fract_y
_atom_site_fract_z
Sr1 Sr 0.0000 0.0000 0.0000
Ho1 Ho 0.0000 0.0000 0.2844
In1 In 0.0000 0.0000 0.6657
```

Here is an optimized crystal structure of SrHoIn4 from Alexandria via LeMat-Bulk. Energies are from PBE.

Output
Its density of states at the Fermi level is 0.8134 states/eV per atom. For the formation energy, the calculation gives -0.303 eV per atom. The value obtained for the total energy is -76.1 eV for the cell shown. The calculation puts the spin magnetization at 0.0 Bohr magnetons per cell. As for the crystal system: cubic. The value obtained for the volume is 27.23 Å³ per atom.

Cell and atoms, written as CIF:
```
data_SrHoIn4
_chemical_formula_sum 'Sr4 Ho4 In16'
_cell_length_a 8.6777
_cell_length_b 8.6777
_cell_length_c 8.6777
_cell_angle_alpha 90.00
_cell_angle_beta 90.00
_cell_angle_gamma 90.00
_symmetry_space_group_name_H-M 'F -4 3 m'
_symmetry_Int_Tables_number 216
_symmetry_space_group_name_Hall 'F -4 2 3'
loop_
_atom_site_label
_atom_site_type_symbol
_atom_site_fract_x
_atom_site_fract_y
_atom_site_fract_z
Sr1 Sr 0.0000 0.0000 0.0000
Ho1 Ho 0.2500 0.2500 0.7500
In1 In 0.1247 0.1247 0.3753
```

Here is an optimized crystal structure of SrHoIn from Alexandria via LeMat-Bulk. Energies are from PBE.

Output
Its distance to the lowest polymorph of the same formula is 170 meV/atom. Its density of states at the Fermi level is 0.7205 states/eV per atom. For the formation energy, the calculation gives -0.134 eV per atom. The value obtained for the total energy is -9.4 eV for the cell shown. The calculation puts the spin magnetization at 0.0 Bohr magnetons per cell. As for the crystal system: trigonal. The value obtained for the volume is 33.51 Å³ per atom.

Cell and atoms, written as CIF:
```
data_SrHoIn
_chemical_formula_sum 'Sr1 Ho1 In1'
_cell_length_a 5.4605
_cell_length_b 5.4605
_cell_length_c 3.8937
_cell_angle_alpha 90.00
_cell_angle_beta 90.00
_cell_angle_gamma 120.00
_symmetry_space_group_name_H-M 'P 3 m 1'
_symmetry_Int_Tables_number 156
loop_
_symmetry_equiv_pos_as_xyz
'x,y,z'
'-y,x-y,z'
'-x+y,-x,z'
'-y,-x,z'
'-x+y,y,z'
'x,x-y,z'
loop_
_atom_site_label
_atom_site_type_symbol
_atom_site_fract_x
_atom_site_fract_y
_atom_site_fract_z
Sr1 Sr 0.0000 0.0000 0.0000
Ho1 Ho 0.3333 0.6667 0.4622
In1 In 0.6667 0.3333 0.5846
```

Here is an optimized crystal structure of SrHo2In from Alexandria via LeMat-Bulk. Energies are from PBE.

Output
Its distance to the lowest polymorph of the same formula is 0 meV/atom. Its density of states at the Fermi level is 1.0757 states/eV per atom. For the formation energy, the calculation gives -0.096 eV per atom. The value obtained for the total energy is -14.0 eV for the cell shown. The calculation puts the spin magnetization at 0.2 Bohr magnetons per cell. As for the crystal system: tetragonal. The value obtained for the volume is 31.14 Å³ per atom.

Cell and atoms, written as CIF:
```
data_SrHo2In
_chemical_formula_sum 'Sr1 Ho2 In1'
_cell_length_a 5.0086
_cell_length_b 5.0086
_cell_length_c 4.9658
_cell_angle_alpha 90.00
_cell_angle_beta 90.00
_cell_angle_gamma 90.00
_symmetry_space_group_name_H-M 'P 4/m m m'
_symmetry_Int_Tables_number 123
_symmetry_space_group_name_Hall '-P 4 2'
loop_
_atom_site_label
_atom_site_type_symbol
_atom_site_fract_x
_atom_site_fract_y
_atom_site_fract_z
Sr1 Sr 0.0000 0.0000 0.0000
Ho1 Ho 0.0000 0.5000 0.5000
In1 In 0.5000 0.5000 0.0000
```

Here is an optimized crystal structure of Sr2HoInTe5 from Alexandria via LeMat-Bulk. Energies are from PBE.

Output
The value obtained for the total energy is -150.0 eV for the cell shown. The calculation puts the spin magnetization at 0.0 Bohr magnetons per cell. The value obtained for the uncorrected formation energy is -1.2349 eV/atom. As for the crystal system: orthorhombic. The value obtained for the volume is 34.75 Å³ per atom.

Cell and atoms, written as CIF:
```
data_Sr2HoInTe5
_chemical_formula_sum 'Sr8 Ho4 In4 Te20'
_cell_length_a 4.4647
_cell_length_b 20.0362
_cell_length_c 13.9834
_cell_angle_alpha 90.00
_cell_angle_beta 90.00
_cell_angle_gamma 90.00
_symmetry_space_group_name_H-M 'C m c 21'
_symmetry_Int_Tables_number 36
loop_
_symmetry_equiv_pos_as_xyz
'x,y,z'
'-x,-y,z+1/2'
'-x,y,z'
'x,-y,z+1/2'
'x+1/2,y+1/2,z'
'-x+1/2,-y+1/2,z+1/2'
'-x+1/2,y+1/2,z'
'x+1/2,-y+1/2,z+1/2'
loop_
_atom_site_label
_atom_site_type_symbol
_atom_site_fract_x
_atom_site_fract_y
_atom_site_fract_z
Sr1 Sr 0.0000 0.1184 0.0000
Sr2 Sr 0.0000 0.1301 0.6386
Ho1 Ho 0.0000 0.2094 0.3416
In1 In 0.0000 0.4434 0.7605
Te1 Te 0.0000 0.0499 0.3839
Te2 Te 0.0000 0.2890 0.9905
Te3 Te 0.0000 0.3088 0.6841
Te4 Te 0.0000 0.3589 0.3225
Te5 Te 0.0000 0.4957 0.0842
```

Here is an optimized crystal structure of SrHoTlIn from Alexandria via LeMat-Bulk. Energies are from PBE.

Output
Its density of states at the Fermi level is 0.6405 states/eV per atom. For the formation energy, the calculation gives -0.347 eV per atom. The value obtained for the total energy is -51.0 eV for the cell shown. The calculation puts the spin magnetization at 0.0 Bohr magnetons per cell. As for the crystal system: cubic. The value obtained for the volume is 30.06 Å³ per atom.

Cell and atoms, written as CIF:
```
data_SrHoTlIn
_chemical_formula_sum 'Sr4 Ho4 Tl4 In4'
_cell_length_a 7.8347
_cell_length_b 7.8347
_cell_length_c 7.8347
_cell_angle_alpha 90.00
_cell_angle_beta 90.00
_cell_angle_gamma 90.00
_symmetry_space_group_name_H-M 'F -4 3 m'
_symmetry_Int_Tables_number 216
_symmetry_space_group_name_Hall 'F -4 2 3'
loop_
_atom_site_label
_atom_site_type_symbol
_atom_site_fract_x
_atom_site_fract_y
_atom_site_fract_z
Sr1 Sr 0.0000 0.0000 0.0000
Ho1 Ho 0.0000 0.0000 0.5000
Tl1 Tl 0.2500 0.2500 0.2500
In1 In 0.2500 0.2500 0.7500
```

Here is an optimized crystal structure of Tb2Ho5In4 from Alexandria via LeMat-Bulk. Energies are from PBE.

Output
Its distance to the lowest polymorph of the same formula is 544 meV/atom. Its density of states at the Fermi level is 1.2687 states/eV per atom. For the formation energy, the calculation gives 0.306 eV per atom. The value obtained for the total energy is -79.5 eV for the cell shown. The calculation puts the spin magnetization at 0.0 Bohr magnetons per cell. As for the crystal system: orthorhombic. The value obtained for the volume is 38.12 Å³ per atom.

Cell and atoms, written as CIF:
```
data_Tb2Ho5In4
_chemical_formula_sum 'Tb4 Ho10 In8'
_cell_length_a 3.4422
_cell_length_b 8.4796
_cell_length_c 28.7308
_cell_angle_alpha 90.00
_cell_angle_beta 90.00
_cell_angle_gamma 90.00
_symmetry_space_group_name_H-M 'I m m m'
_symmetry_Int_Tables_number 71
_symmetry_space_group_name_Hall '-I 2 2'
loop_
_atom_site_label
_atom_site_type_symbol
_atom_site_fract_x
_atom_site_fract_y
_atom_site_fract_z
Tb1 Tb 0.0000 0.0000 0.0960
Ho1 Ho 0.0000 0.1957 0.2021
Ho2 Ho 0.0000 0.5000 0.5000
In1 In 0.0000 0.0000 0.3024
In2 In 0.0000 0.3201 0.0000
```

Here is an optimized crystal structure of TbHo4In3 from Alexandria via LeMat-Bulk. Energies are from PBE.

Output
Its distance to the lowest polymorph of the same formula is 101 meV/atom. Its density of states at the Fermi level is 1.0503 states/eV per atom. For the formation energy, the calculation gives -0.211 eV per atom. The value obtained for the total energy is -65.7 eV for the cell shown. The calculation puts the spin magnetization at 0.9 Bohr magnetons per cell. As for the crystal system: orthorhombic. The value obtained for the volume is 28.96 Å³ per atom.

Cell and atoms, written as CIF:
```
data_TbHo4In3
_chemical_formula_sum 'Tb2 Ho8 In6'
_cell_length_a 3.4832
_cell_length_b 8.8021
_cell_length_c 15.1130
_cell_angle_alpha 90.00
_cell_angle_beta 90.00
_cell_angle_gamma 90.00
_symmetry_space_group_name_H-M 'I m m m'
_symmetry_Int_Tables_number 71
_symmetry_space_group_name_Hall '-I 2 2'
loop_
_atom_site_label
_atom_site_type_symbol
_atom_site_fract_x
_atom_site_fract_y
_atom_site_fract_z
Tb1 Tb 0.0000 0.0000 0.0000
Ho1 Ho 0.0000 0.3017 0.1401
In1 In 0.0000 0.0000 0.5000
In2 In 0.0000 0.5000 0.3153
```

Here is an optimized crystal structure of Tb5Ho2In from Alexandria via LeMat-Bulk. Energies are from PBE.

Output
Its density of states at the Fermi level is 1.3408 states/eV per atom. For the formation energy, the calculation gives -0.113 eV per atom. The value obtained for the total energy is -71.9 eV for the cell shown. The calculation puts the spin magnetization at 0.0 Bohr magnetons per cell. As for the crystal system: tetragonal. The value obtained for the volume is 30.21 Å³ per atom.

Cell and atoms, written as CIF:
```
data_Tb5Ho2In
_chemical_formula_sum 'Tb10 Ho4 In2'
_cell_length_a 4.9066
_cell_length_b 4.9066
_cell_length_c 20.0808
_cell_angle_alpha 90.00
_cell_angle_beta 90.00
_cell_angle_gamma 90.00
_symmetry_space_group_name_H-M 'I 4/m m m'
_symmetry_Int_Tables_number 139
_symmetry_space_group_name_Hall '-I 4 2'
loop_
_atom_site_label
_atom_site_type_symbol
_atom_site_fract_x
_atom_site_fract_y
_atom_site_fract_z
Tb1 Tb 0.0000 0.0000 0.0000
Tb2 Tb 0.0000 0.5000 0.1226
Ho1 Ho 0.0000 0.0000 0.2469
In1 In 0.0000 0.0000 0.5000
```

Here is an optimized crystal structure of Tb15HoIn4 from Alexandria via LeMat-Bulk. Energies are from PBE.

Output
Its density of states at the Fermi level is 1.4672 states/eV per atom. For the formation energy, the calculation gives -0.205 eV per atom. The value obtained for the total energy is -89.1 eV for the cell shown. The calculation puts the spin magnetization at 0.0 Bohr magnetons per cell. As for the crystal system: tetragonal. The value obtained for the volume is 29.34 Å³ per atom.

Cell and atoms, written as CIF:
```
data_Tb15HoIn4
_chemical_formula_sum 'Tb15 Ho1 In4'
_cell_length_a 4.8702
_cell_length_b 4.8702
_cell_length_c 24.7369
_cell_angle_alpha 90.00
_cell_angle_beta 90.00
_cell_angle_gamma 90.00
_symmetry_space_group_name_H-M 'P 4/m m m'
_symmetry_Int_Tables_number 123
_symmetry_space_group_name_Hall '-P 4 2'
loop_
_atom_site_label
_atom_site_type_symbol
_atom_site_fract_x
_atom_site_fract_y
_atom_site_fract_z
Tb1 Tb 0.0000 0.0000 0.0000
Tb2 Tb 0.0000 0.0000 0.2042
Tb3 Tb 0.0000 0.0000 0.4018
Tb4 Tb 0.0000 0.5000 0.1046
Tb5 Tb 0.0000 0.5000 0.3028
Tb6 Tb 0.0000 0.5000 0.5000
Ho1 Ho 0.5000 0.5000 0.0000
In1 In 0.5000 0.5000 0.2058
In2 In 0.5000 0.5000 0.4015
```

Here is an optimized crystal structure of Tb3HoIn from Alexandria via LeMat-Bulk. Energies are from PBE.

Output
Its distance to the lowest polymorph of the same formula is 461 meV/atom. Its density of states at the Fermi level is 1.1626 states/eV per atom. For the formation energy, the calculation gives 0.271 eV per atom. The value obtained for the total energy is -79.4 eV for the cell shown. The calculation puts the spin magnetization at 0.0 Bohr magnetons per cell. As for the crystal system: orthorhombic. The value obtained for the volume is 31.85 Å³ per atom.

Cell and atoms, written as CIF:
```
data_Tb3HoIn
_chemical_formula_sum 'Tb12 Ho4 In4'
_cell_length_a 5.8800
_cell_length_b 12.3218
_cell_length_c 8.7919
_cell_angle_alpha 90.00
_cell_angle_beta 90.00
_cell_angle_gamma 90.00
_symmetry_space_group_name_H-M 'C m c m'
_symmetry_Int_Tables_number 63
_symmetry_space_group_name_Hall '-C 2c 2'
loop_
_atom_site_label
_atom_site_type_symbol
_atom_site_fract_x
_atom_site_fract_y
_atom_site_fract_z
Tb1 Tb 0.0000 0.0635 0.2500
Tb2 Tb 0.0000 0.1748 0.5685
Ho1 Ho 0.0000 0.4284 0.7500
In1 In 0.0000 0.3206 0.2500
```

Here is an optimized crystal structure of Tb2Ho5In from Alexandria via LeMat-Bulk. Energies are from PBE.

Output
Its density of states at the Fermi level is 1.4472 states/eV per atom. For the formation energy, the calculation gives -0.025 eV per atom. The value obtained for the total energy is -140.3 eV for the cell shown. The calculation puts the spin magnetization at 0.0 Bohr magnetons per cell. As for the crystal system: monoclinic. The value obtained for the volume is 30.53 Å³ per atom.

Cell and atoms, written as CIF:
```
data_Tb2Ho5In
_chemical_formula_sum 'Tb8 Ho20 In4'
_cell_length_a 8.6101
_cell_length_b 20.3214
_cell_length_c 6.0372
_cell_angle_alpha 90.00
_cell_angle_beta 112.36
_cell_angle_gamma 90.00
_symmetry_space_group_name_H-M 'C 1 c 1'
_symmetry_Int_Tables_number 9
loop_
_symmetry_equiv_pos_as_xyz
'x,y,z'
'x,-y,z+1/2'
'x+1/2,y+1/2,z'
'x+1/2,-y+1/2,z+1/2'
loop_
_atom_site_label
_atom_site_type_symbol
_atom_site_fract_x
_atom_site_fract_y
_atom_site_fract_z
Tb1 Tb 0.0000 0.0544 0.0000
Tb2 Tb 0.4567 0.2808 0.5077
Ho1 Ho 0.0836 0.3722 0.3091
Ho2 Ho 0.1295 0.1285 0.5685
Ho3 Ho 0.2112 0.4464 0.8760
Ho4 Ho 0.2538 0.2817 0.8729
Ho5 Ho 0.3567 0.1398 0.1879
In1 In 0.3561 0.0000 0.4382
```